[1]
This record from the Alexandria database describes a relaxed structure of Zn3CoTc. The functional is GGA-PBE.

POSCAR file:
```
Zn3CoTc
1.0
-2.1478 -3.6251 -1.3127
-0.7925 -1.0555 4.2113
-3.7731 2.2852 -0.1372
Zn Co Tc
3 1 1
direct
0.0000 0.5000 0.0000
0.0000 0.0000 0.5000
0.5000 0.0000 0.0000
0.0000 0.0000 0.0000
0.5000 0.5000 0.5000
```

Summary:
**Calculated density**: 6.82 g cm⁻³
**Space group**: Pm-3m, No. 221
**Energy of formation**: 0.871 eV per atom
**Energy relative to the lowest polymorph listed for this composition**: 0 meV per atom
**VASP energy**: -3.388 eV/atom
**Total magnetization**: 3.2 μB/f.u.

---

[2]
This record from the Alexandria database describes a relaxed structure of P2RhBr. The functional is GGA-PBE.

POSCAR file:
```
P2RhBr
1.0
-6.5279 1.7929 -1.5187
-5.2114 -2.3499 -3.9311
5.0136 -0.9699 4.6965
Br P Rh
1 2 1
direct
0.6684 0.1684 0.5000
0.9679 0.9679 0.0000
0.3631 0.8631 0.5000
0.5006 0.5006 0.0000
```

Summary:
**Calculated density**: 5.09 g cm⁻³
**Space group**: Imm2, No. 44
**Uncorrected formation energy**: -0.040 eV/atom
**Energy relative to the lowest polymorph listed for this composition**: 163 meV per atom
**VASP energy**: -5.001 eV/atom
**Total magnetization**: 0.0 μB/f.u.

---

[3]
This record from the Alexandria database describes a relaxed structure of ErMnPtAu. The functional is GGA-PBE.

POSCAR file:
```
ErMnPtAu
1.0
-2.0735 4.1809 0.8865
-3.3705 0.3205 3.3320
0.8939 2.2787 4.0711
Mn Au Pt Er
1 1 1 1
direct
0.2500 0.2500 0.2500
0.0000 0.0000 0.0000
0.5000 0.5000 0.5000
0.7500 0.7500 0.7500
```

Summary:
**Calculated density**: 13.46 g cm⁻³
**Space group**: F-43m, No. 216
**Energy of formation**: -0.615 eV per atom
**VASP energy**: -6.377 eV/atom
**Total magnetization**: 4.5 μB/f.u.